[1]
First-principles (PBE) data for an optimized crystal structure of Ho12CoPd6, as listed in Alexandria via LeMat-Bulk.

SG: R-3
formation enthalpy at 0 K: -940 kJ/mol of formula units
crystal system: trigonal

Cell lengths 8.115, 8.115, 8.115 Å; angles 98.84, 98.84, 98.84 degrees
Fractional coordinates of all 19 atoms:
Ho 0.818 0.583 0.425
Ho 0.425 0.818 0.583
Ho 0.583 0.425 0.818
Ho 0.182 0.417 0.575
Ho 0.575 0.182 0.417
Ho 0.417 0.575 0.182
Ho 0.076 0.966 0.315
Ho 0.034 0.685 0.924
Ho 0.685 0.924 0.034
Ho 0.924 0.034 0.685
Ho 0.966 0.315 0.076
Ho 0.315 0.076 0.966
Co 0.000 0.000 0.000
Pd 0.689 0.870 0.376
Pd 0.624 0.311 0.130
Pd 0.130 0.624 0.311
Pd 0.311 0.130 0.624
Pd 0.376 0.689 0.870
Pd 0.870 0.376 0.689



[2]
First-principles (PBE) data for an optimized crystal structure of In2TcAs, as listed in Alexandria via LeMat-Bulk.

SG: P4mm
formation enthalpy at 0 K: -1 kJ/mol of formula units
crystal system: tetragonal

Cell lengths 3.133, 3.133, 8.482 Å; angles 90.00, 90.00, 90.00 degrees
Fractional coordinates of all 4 atoms:
As 0.500 0.500 0.682
Tc 0.000 0.000 0.532
In 0.000 0.000 0.981
In 0.500 0.500 0.305



[3]
First-principles (PBE) data for an optimized crystal structure of Rb2CoSnGe, as listed in Alexandria via LeMat-Bulk.

SG: P4/mmm
formation enthalpy at 0 K: 400 kJ/mol of formula units
crystal system: tetragonal

Cell lengths 7.163, 5.150, 7.163 Å; angles 90.00, 90.00, 90.00 degrees
Site moments in Bohr magnetons follow the coordinates.
Fractional coordinates of all 5 atoms:
Ge 0.000 0.500 0.000  0.00
Co 0.500 0.500 0.500  2.18
Sn 0.000 0.000 0.000  -0.01
Rb 0.000 0.000 0.500  0.00
Rb 0.500 0.000 0.000  0.00



[4]
First-principles (PBE) data for an optimized crystal structure of SmMgSc2Cu4, as listed in Alexandria via LeMat-Bulk.

SG: R-3m
formation enthalpy at 0 K: -142 kJ/mol of formula units
crystal system: trigonal

Cell lengths 4.601, 4.601, 8.455 Å; angles 74.21, 74.21, 60.00 degrees
Fractional coordinates of all 8 atoms:
Sm 0.000 0.000 0.000
Mg 0.500 0.500 0.500
Sc 0.759 0.759 0.723
Sc 0.241 0.241 0.277
Cu 0.392 0.392 0.825
Cu 0.877 0.877 0.369
Cu 0.123 0.123 0.631
Cu 0.608 0.608 0.175



[5]
First-principles (PBE) data for an optimized crystal structure of SrVH2Os, as listed in Alexandria via LeMat-Bulk.

SG: P4/mmm
DFT total energy: -5.14 eV per atom
crystal system: tetragonal

Cell lengths 4.197, 4.542, 4.197 Å; angles 90.00, 90.00, 90.00 degrees
Fractional coordinates of all 5 atoms:
Sr 0.500 0.500 0.500
Os 0.000 0.500 0.000
H 0.000 0.000 0.500
H 0.500 0.000 0.000
V 0.000 0.000 0.000



[6]
First-principles (PBE) data for an optimized crystal structure of Er3Ga3Cu, as listed in Alexandria via LeMat-Bulk.

SG: C2/m
formation enthalpy at 0 K: -390 kJ/mol of formula units
crystal system: monoclinic

Cell lengths 4.308, 5.683, 13.390 Å; angles 85.09, 80.74, 67.72 degrees
Fractional coordinates of all 14 atoms:
Er 0.540 0.304 0.616
Er 0.460 0.696 0.384
Er 0.256 0.259 0.228
Er 0.744 0.741 0.772
Er 0.398 0.282 0.922
Er 0.602 0.718 0.078
Ga 0.865 0.726 0.544
Ga 0.135 0.274 0.456
Ga 0.113 0.850 0.924
Ga 0.887 0.150 0.076
Ga 0.966 0.835 0.234
Ga 0.034 0.165 0.766
Cu 0.752 0.104 0.393
Cu 0.248 0.896 0.607



[7]
First-principles (PBE) data for an optimized crystal structure of CrCd2P2, as listed in Alexandria via LeMat-Bulk.

SG: P4/mbm
formation enthalpy at 0 K: 431 kJ/mol of formula units
distance to the lowest polymorph of the same formula: 865 meV/atom
crystal system: tetragonal

Cell lengths 7.248, 7.248, 3.468 Å; angles 90.00, 90.00, 90.00 degrees
Site moments in Bohr magnetons follow the coordinates.
Fractional coordinates of all 10 atoms:
Cr 0.000 0.000 0.000  -0.27
Cr 0.500 0.500 0.000  -0.27
P 0.176 0.676 0.500  -0.03
P 0.676 0.824 0.500  -0.03
P 0.824 0.324 0.500  -0.03
P 0.324 0.176 0.500  -0.03
Cd 0.365 0.865 0.000  -0.01
Cd 0.865 0.635 0.000  0.00
Cd 0.635 0.135 0.000  -0.01
Cd 0.135 0.365 0.000  0.00



[8]
First-principles (PBE) data for an optimized crystal structure of Cu2AgP2, as listed in Alexandria via LeMat-Bulk.

SG: P4/mbm
formation enthalpy at 0 K: 125 kJ/mol of formula units
distance to the lowest polymorph of the same formula: 173 meV/atom
crystal system: tetragonal

Cell lengths 7.285, 7.285, 2.782 Å; angles 90.00, 90.00, 90.00 degrees
Fractional coordinates of all 10 atoms:
P 0.334 0.834 0.000
P 0.834 0.666 0.000
P 0.666 0.166 0.000
P 0.166 0.334 0.000
Cu 0.133 0.633 0.500
Cu 0.633 0.867 0.500
Cu 0.867 0.367 0.500
Cu 0.367 0.133 0.500
Ag 0.000 0.000 0.000
Ag 0.500 0.500 0.000